Record 1
! ZnAs2 | OQMD | PBE | relaxed; values from VASP
! Crystal system ... monoclinic
! E_tot ... -3.68 eV per atom
! Space-group type ... P2_1/c (14)
&SYSTEM
  ibrav = 0, nat = 24, ntyp = 2
/
ATOMIC_SPECIES
Zn 65.41 Zn.upf
As 74.92 As.upf
CELL_PARAMETERS angstrom
9.3826 0.0000 0.0000
0.0000 7.7658 0.0000
-1.7575 0.0000 7.9188
ATOMIC_POSITIONS crystal
Zn 0.0806 0.2490 0.3951
Zn 0.0806 0.2510 0.8951
Zn 0.3885 0.6003 0.2231
Zn 0.3885 0.8997 0.7231
Zn 0.6115 0.1003 0.2769
Zn 0.6115 0.3997 0.7769
Zn 0.9194 0.7490 0.1049
Zn 0.9194 0.7510 0.6049
As 0.0675 0.7453 0.8920
As 0.0675 0.7547 0.3920
As 0.2388 0.5113 0.4335
As 0.2388 0.9887 0.9335
As 0.2431 0.5079 0.9367
As 0.2431 0.9921 0.4367
As 0.3855 0.5757 0.7203
As 0.3855 0.9243 0.2203
As 0.6145 0.0757 0.7797
As 0.6145 0.4243 0.2797
As 0.7569 0.0079 0.5633
As 0.7569 0.4921 0.0633
As 0.7612 0.0113 0.0665
As 0.7612 0.4887 0.5665
As 0.9325 0.2453 0.6080
As 0.9325 0.2547 0.1080

Record 2
! LiLuNiSb | OQMD | PBE | relaxed; values from VASP
! Crystal system ... cubic
! Size of the total moment ... 0.00 μB/cell
! Space-group type ... F-43m (216)
! Energy above the most stable polymorph in this dataset ... 0 meV per atom
&SYSTEM
  ibrav = 0, nat = 4, ntyp = 4
/
ATOMIC_SPECIES
Li 6.94 Li.upf
Lu 174.97 Lu.upf
Ni 58.69 Ni.upf
Sb 121.76 Sb.upf
CELL_PARAMETERS angstrom
0.0000 3.2537 3.2537
3.2537 0.0000 3.2537
3.2537 3.2537 0.0000
ATOMIC_POSITIONS crystal
Li 0.0000 0.0000 0.0000
Lu 0.7500 0.7500 0.7500
Ni 0.5000 0.5000 0.5000
Sb 0.2500 0.2500 0.2500

Record 3
! GdGeSO | OQMD | PBE | relaxed; values from VASP
! Crystal system ... orthorhombic
! Size of the total moment ... 0.01 μB/cell
! Space-group type ... Pbca (61)
! Energy above the most stable polymorph in this dataset ... 25 meV per atom
&SYSTEM
  ibrav = 0, nat = 32, ntyp = 4
/
ATOMIC_SPECIES
Gd 157.25 Gd.upf
Ge 72.64 Ge.upf
S 32.06 S.upf
O 16.00 O.upf
CELL_PARAMETERS angstrom
6.4961 0.0000 0.0000
0.0000 13.4181 0.0000
0.0000 0.0000 7.5702
ATOMIC_POSITIONS crystal
Gd 0.1787 0.2299 0.1220
Gd 0.1787 0.2701 0.6220
Gd 0.3213 0.7299 0.1220
Gd 0.3213 0.7701 0.6220
Gd 0.6787 0.2299 0.3780
Gd 0.6787 0.2701 0.8780
Gd 0.8213 0.7299 0.3780
Gd 0.8213 0.7701 0.8780
Ge 0.2218 0.5135 0.5222
Ge 0.2218 0.9865 0.0222
Ge 0.2782 0.0135 0.5222
Ge 0.2782 0.4865 0.0222
Ge 0.7218 0.5135 0.9778
Ge 0.7218 0.9865 0.4778
Ge 0.7782 0.0135 0.9778
Ge 0.7782 0.4865 0.4778
S 0.0069 0.0761 0.3321
S 0.0069 0.4239 0.8321
S 0.4931 0.5761 0.3321
S 0.4931 0.9239 0.8321
S 0.5069 0.0761 0.1679
S 0.5069 0.4239 0.6679
S 0.9931 0.5761 0.1679
S 0.9931 0.9239 0.6679
O 0.1556 0.7353 0.8663
O 0.1556 0.7647 0.3663
O 0.3444 0.2353 0.8663
O 0.3444 0.2647 0.3663
O 0.6556 0.7353 0.6337
O 0.6556 0.7647 0.1337
O 0.8444 0.2353 0.6337
O 0.8444 0.2647 0.1337

Record 4
! ZrScCuNi | OQMD | PBE | relaxed; values from VASP
! Crystal system ... cubic
! Size of the total moment ... 0.00 μB/cell
! Space-group type ... F-43m (216)
! ΔH_f (0 K) ... -0.31 eV/atom
! Energy above the most stable polymorph in this dataset ... 0 meV per atom
&SYSTEM
  ibrav = 0, nat = 4, ntyp = 4
/
ATOMIC_SPECIES
Zr 91.22 Zr.upf
Sc 44.96 Sc.upf
Cu 63.55 Cu.upf
Ni 58.69 Ni.upf
CELL_PARAMETERS angstrom
0.0000 3.2259 3.2259
3.2259 0.0000 3.2259
3.2259 3.2259 0.0000
ATOMIC_POSITIONS crystal
Zr 0.0000 0.0000 0.0000
Sc 0.5000 0.5000 0.5000
Cu 0.2500 0.2500 0.2500
Ni 0.7500 0.7500 0.7500

Record 5
! Cu7Ag3 | OQMD | PBE | relaxed; values from VASP
! Crystal system ... tetragonal
! Space-group type ... P4mm (99)
! ΔH_f (0 K) ... 0.06 eV/atom
! Energy above the most stable polymorph in this dataset ... 14 meV per atom
&SYSTEM
  ibrav = 0, nat = 10, ntyp = 2
/
ATOMIC_SPECIES
Cu 63.55 Cu.upf
Ag 107.87 Ag.upf
CELL_PARAMETERS angstrom
2.7820 0.0000 0.0000
0.0000 2.7820 0.0000
0.0000 0.0000 17.6723
ATOMIC_POSITIONS crystal
Cu 0.0000 0.0000 0.0000
Cu 0.0000 0.0000 0.1765
Cu 0.0000 0.0000 0.3538
Cu 0.0000 0.0000 0.7837
Cu 0.5000 0.5000 0.0885
Cu 0.5000 0.5000 0.2653
Cu 0.5000 0.5000 0.4423
Ag 0.0000 0.0000 0.5506
Ag 0.5000 0.5000 0.6762
Ag 0.5000 0.5000 0.8914

Record 6
! LiCuTcIr | OQMD | PBE | relaxed; values from VASP
! Crystal system ... cubic
! Size of the total moment ... 0.00 μB/cell
! Space-group type ... F-43m (216)
! Energy above the most stable polymorph in this dataset ... 344 meV per atom
&SYSTEM
  ibrav = 0, nat = 4, ntyp = 4
/
ATOMIC_SPECIES
Li 6.94 Li.upf
Cu 63.55 Cu.upf
Tc 98.00 Tc.upf
Ir 192.22 Ir.upf
CELL_PARAMETERS angstrom
0.0000 2.9512 2.9512
2.9512 0.0000 2.9512
2.9512 2.9512 0.0000
ATOMIC_POSITIONS crystal
Li 0.0000 0.0000 0.0000
Cu 0.5000 0.5000 0.5000
Tc 0.2500 0.2500 0.2500
Ir 0.7500 0.7500 0.7500